[1]
A geometry-optimized GdErZnSn structure, computed with GGA-PBE.

The structure belongs to space group F-43m (No. 216); the cell edges are 7.3418, 7.3418 and 7.3418 Å and the angles 90.00°, 90.00° and 90.00°. The asymmetric unit holds Gd at (0.0000, 0.0000, 0.0000), Er at (0.0000, 0.0000, 0.5000), Zn at (0.2500, 0.2500, 0.7500) and Sn at (0.2500, 0.2500, 0.2500).

The value obtained for the electronic total energy is -6.48 eV/atom. The energy of formation is -1.987 eV per formula unit.

---

[2]
A geometry-optimized LiDyInRh structure, computed with GGA-PBE.

The structure belongs to space group F-43m (No. 216); the cell edges are 6.7304, 6.7304 and 6.7304 Å and the angles 90.00°, 90.00° and 90.00°. The asymmetric unit holds Li at (0.0000, 0.0000, 0.0000), Dy at (0.2500, 0.2500, 0.2500), In at (0.2500, 0.2500, 0.7500) and Rh at (0.0000, 0.0000, 0.5000).

The value obtained for the electronic total energy is -4.70 eV/atom. The energy of formation is -2.186 eV per formula unit.